This record from Alexandria via LeMat-Bulk describes BaMo2RuO8 after structural relaxation. The functional is PBE+U.

Values from the calculation:
Volume = 209 Å³ per cell
VASP energy = -7.11 eV per atom

```
BaMo2RuO8
1.0
5.827 0.000 0.000
-2.914 5.047 0.000
0.000 0.000 7.111
Ba Mo Ru O
1 2 1 8
Cartesian
0.000 0.000 0.000
0.000 3.364 5.299
2.914 1.682 1.812
0.000 0.000 3.556
-0.011 1.625 4.773
-1.501 4.244 4.773
1.401 0.822 2.338
0.000 3.364 7.087
2.914 1.682 0.024
1.512 4.224 4.773
4.415 0.803 2.338
2.925 3.422 2.338
```